No. 1
Below is a geometry-optimized PrDy2Ho3Se6 structure, with properties calculated at the PBE-GGA level.

Values from the calculation:
DOS(E_F): 0.439 states/eV per atom
VASP energy: -69.65 eV/cell
ΔE_f (raw): -1752 meV per atom

Cell lengths 7.0909, 7.0909, 7.1205 Å; angles 99.51, 99.51, 120.25 degrees
With the nearest neighbours (Å) after each atom.
Sites, in units of the cell vectors:
Pr 0.0000 0.0000 0.0000  6 Se 2.97-3.00
Dy 0.3348 0.6652 0.0000  6 Se 2.87-2.91
Dy 0.6652 0.3348 0.0000  6 Se 2.87-2.91
Ho 0.1589 0.8411 0.5000  6 Se 2.85-2.89
Ho 0.5000 0.5000 0.5000  6 Se 2.82-2.90
Ho 0.8411 0.1589 0.5000  6 Se 2.85-2.89
Se 0.0859 0.4310 0.2592  3 Ho 2.86-2.90, 2 Dy 2.90-2.91, 1 Pr 3.00
Se 0.2595 0.2595 0.7464  3 Ho 2.82-2.85, 2 Dy 2.87, 1 Pr 2.97
Se 0.4310 0.0859 0.2592  3 Ho 2.86-2.90, 2 Dy 2.90-2.91, 1 Pr 3.00
Se 0.5690 0.9141 0.7408  3 Ho 2.86-2.90, 2 Dy 2.90-2.91, 1 Pr 3.00
Se 0.7405 0.7405 0.2536  3 Ho 2.82-2.85, 2 Dy 2.87, 1 Pr 2.97
Se 0.9141 0.5690 0.7408  3 Ho 2.86-2.90, 2 Dy 2.90-2.91, 1 Pr 3.00

No. 2
Below is a geometry-optimized PrDy4HoSe8 structure, with properties calculated at the PBE-GGA level.

Values from the calculation:
DOS(E_F): 0.630 states/eV per atom
VASP energy: -79.61 eV/cell
ΔE_f (raw): -1712 meV per atom

Cell lengths 8.4654, 8.4654, 8.4654 Å; angles 60.06, 60.06, 60.06 degrees
With the nearest neighbours (Å) after each atom.
Sites, in units of the cell vectors:
Pr 0.0000 0.0000 0.0000  4 Se 2.83
Dy 0.3762 0.3762 0.8723  6 Se 2.88-2.90
Dy 0.3762 0.8723 0.3762  6 Se 2.88-2.90
Dy 0.7504 0.7504 0.7504  4 Se 2.74
Dy 0.8723 0.3762 0.3762  6 Se 2.88-2.90
Ho 0.3760 0.3760 0.3760  6 Se 2.86-2.89
Se 0.1365 0.1365 0.1365  1 Pr 2.83, 3 Dy 2.88
Se 0.1374 0.1374 0.5903  1 Pr 2.83, 1 Ho 2.86, 2 Dy 2.88
Se 0.1374 0.5903 0.1374  1 Pr 2.83, 1 Ho 2.86, 2 Dy 2.88
Se 0.1467 0.6172 0.6172  3 Dy 2.74-2.90, 1 Ho 2.89
Se 0.5903 0.1374 0.1374  1 Pr 2.83, 1 Ho 2.86, 2 Dy 2.88
Se 0.6172 0.1467 0.6172  3 Dy 2.74-2.90, 1 Ho 2.89
Se 0.6172 0.6172 0.1467  3 Dy 2.74-2.90, 1 Ho 2.89
Se 0.6184 0.6184 0.6184  4 Dy 2.74-2.90

No. 3
Below is a geometry-optimized PrDy3Ho2Se6 structure, with properties calculated at the PBE-GGA level.

Values from the calculation:
DOS(E_F): 0.428 states/eV per atom
VASP energy: -69.72 eV/cell
ΔE_f (raw): -1756 meV per atom

Cell lengths 7.1094, 7.1094, 7.1050 Å; angles 99.54, 99.54, 120.24 degrees
With the nearest neighbours (Å) after each atom.
Sites, in units of the cell vectors:
Pr 0.0000 0.0000 0.0000  6 Se 2.96-3.00
Dy 0.1580 0.8420 0.5000  6 Se 2.86-2.91
Dy 0.5000 0.5000 0.5000  6 Se 2.83-2.92
Dy 0.8420 0.1580 0.5000  6 Se 2.86-2.91
Ho 0.3349 0.6651 0.0000  6 Se 2.85-2.90
Ho 0.6651 0.3349 0.0000  6 Se 2.85-2.90
Se 0.0848 0.4314 0.2563  3 Dy 2.88-2.92, 2 Ho 2.89-2.90, 1 Pr 3.00
Se 0.2620 0.2620 0.7501  3 Dy 2.83-2.86, 2 Ho 2.85, 1 Pr 2.96
Se 0.4314 0.0848 0.2563  3 Dy 2.88-2.92, 2 Ho 2.89-2.90, 1 Pr 3.00
Se 0.5686 0.9152 0.7437  3 Dy 2.88-2.92, 2 Ho 2.89-2.90, 1 Pr 3.00
Se 0.7380 0.7380 0.2499  3 Dy 2.83-2.86, 2 Ho 2.85, 1 Pr 2.96
Se 0.9152 0.5686 0.7437  3 Dy 2.88-2.92, 2 Ho 2.89-2.90, 1 Pr 3.00

No. 4
Below is a geometry-optimized Pr2DyHoSe4 structure, with properties calculated at the PBE-GGA level.

Values from the calculation:
DOS(E_F): 0.471 states/eV per atom
VASP energy: -47.05 eV/cell
ΔE_f (raw): -1797 meV per atom

Cell lengths 7.1239, 4.0873, 7.4093 Å; angles 90.00, 108.51, 90.00 degrees
With the nearest neighbours (Å) after each atom.
Sites, in units of the cell vectors:
Pr 0.0000 0.0000 0.0000  6 Se 3.03
Pr 0.5000 0.5000 0.0000  6 Se 3.02
Dy 0.0000 0.5000 0.5000  6 Se 2.87-2.88
Ho 0.5000 0.0000 0.5000  6 Se 2.87
Se 0.2445 0.0000 0.7315  1 Ho 2.87, 2 Dy 2.87, 3 Pr 3.02-3.03
Se 0.2575 0.5000 0.2691  2 Ho 2.87, 1 Dy 2.88, 3 Pr 3.02-3.03
Se 0.7425 0.5000 0.7309  2 Ho 2.87, 1 Dy 2.88, 3 Pr 3.02-3.03
Se 0.7555 0.0000 0.2685  1 Ho 2.87, 2 Dy 2.87, 3 Pr 3.02-3.03

Going through the records in order, we get M_tot values of 0.00, 0.00, 0.00, 0.00 μB/f.u..